VASP calculation (GGA-PBE) on CsCdN after structural relaxation.

* space group: No. 62
* formation energy without anion corrections: 1.23 eV/f.u.
* crystal system: orthorhombic

Cell: 12.107 3.923 7.400 Å, 90.00 90.00 90.00°
Sites, in units of the cell vectors:
Cs1 0.156 0.250 0.057
Cs2 0.344 0.750 0.557
Cs3 0.656 0.250 0.443
Cs4 0.844 0.750 0.943
Cd1 0.057 0.250 0.618
Cd2 0.443 0.750 0.118
Cd3 0.557 0.250 0.882
Cd4 0.943 0.750 0.382
N1 0.085 0.750 0.722
N2 0.415 0.250 0.222
N3 0.585 0.750 0.778
N4 0.915 0.250 0.278